# 1
The following is a meta-GGA SCAN calculation of a PBEsol-optimized structure of KNaH2, from the Alexandria database. Values from VASP.

VASP energy, eV for the cell shown: -20.39
Magnetization, μB/cell: 0.00

The structure in Quantum ESPRESSO input format:
```
&SYSTEM
  ibrav = 0, nat = 4, ntyp = 3
/
ATOMIC_SPECIES
Na 22.99 Na.upf
H 1.01 H.upf
K 39.10 K.upf
ATOMIC_POSITIONS angstrom
Na 0.0000 0.0000 2.6035
H 1.8477 1.8477 2.6035
H 0.0000 0.0000 0.0000
K 1.8477 1.8477 0.0000
CELL_PARAMETERS angstrom
3.6954 0.0000 0.0000
0.0000 3.6954 0.0000
0.0000 0.0000 5.2070
```



# 2
The following is a meta-GGA SCAN calculation of a PBEsol-optimized structure of KNaH2, from the Alexandria database. Values from VASP.

VASP energy, eV for the cell shown: -40.76
Magnetization, μB/cell: 0.00

The structure in Quantum ESPRESSO input format:
```
&SYSTEM
  ibrav = 0, nat = 8, ntyp = 3
/
ATOMIC_SPECIES
H 1.01 H.upf
K 39.10 K.upf
Na 22.99 Na.upf
ATOMIC_POSITIONS angstrom
H 0.5981 0.3097 3.4352
K 0.9563 -3.5104 0.5891
H 1.8299 -2.8546 3.9149
H -1.0167 -1.9693 1.4455
Na 2.3393 -0.9580 2.8600
Na -1.3128 -0.8345 3.3414
K 0.0000 0.0000 0.0000
H -2.1242 -4.1756 -0.9348
CELL_PARAMETERS angstrom
-5.0350 -2.4290 -1.7895
4.6084 -3.6338 0.1077
0.0702 1.7179 5.6123
```



# 3
The following is a meta-GGA SCAN calculation of a PBEsol-optimized structure of K3NaH, from the Alexandria database. Values from VASP.

VASP energy, eV for the cell shown: -32.85
Magnetization, μB/cell: 0.80

The structure in Quantum ESPRESSO input format:
```
&SYSTEM
  ibrav = 0, nat = 5, ntyp = 3
/
ATOMIC_SPECIES
H 1.01 H.upf
K 39.10 K.upf
Na 22.99 Na.upf
ATOMIC_POSITIONS angstrom
H 0.0000 0.0000 0.0000
K -1.4262 -2.2457 -1.2369
K 2.5414 -1.0513 -1.0215
K 0.3387 -1.5680 2.4564
Na 1.4539 -4.8651 0.1979
CELL_PARAMETERS angstrom
-2.8523 -4.4915 -2.4738
5.0828 -2.1025 -2.0430
0.6774 -3.1361 4.9128
```



# 4
The following is a meta-GGA SCAN calculation of a PBEsol-optimized structure of KNaTiSi3H2O10, from the Alexandria database. Values from VASP.

VASP energy, eV for the cell shown: -701.49
Magnetization, μB/cell: 0.00

The structure in Quantum ESPRESSO input format:
```
&SYSTEM
  ibrav = 0, nat = 72, ntyp = 6
/
ATOMIC_SPECIES
O 16.00 O.upf
Si 28.09 Si.upf
H 1.01 H.upf
Ti 47.87 Ti.upf
Na 22.99 Na.upf
K 39.10 K.upf
ATOMIC_POSITIONS angstrom
O 4.3648 10.5015 7.5915
Si 1.7351 5.8262 10.4943
Si 0.2767 8.4556 5.9200
O 1.8710 9.1697 10.7112
O 1.8903 8.6289 2.4885
H 4.7858 10.8738 1.9547
O 0.4599 4.8972 10.9588
O 3.4100 2.4344 11.5664
O 1.8235 10.4970 8.3979
O 2.0049 4.4359 3.0696
O 4.4490 2.9434 5.7745
O -1.2325 8.2652 6.5924
O -1.2078 3.3873 9.5187
Ti 1.5810 8.6584 8.8604
O 0.5113 10.0672 5.6138
O 1.4147 8.0387 6.9839
Na -0.1918 4.9802 5.2312
O 3.0013 4.8927 10.1524
Si 3.1503 7.8516 1.8470
Na 1.8001 10.5845 0.9523
O 2.7566 6.3113 1.4081
H 3.8851 0.9634 2.0677
H 3.2096 5.2695 4.2216
O 2.9537 3.5654 7.8391
H 4.1104 6.5677 4.1086
H -0.8939 4.6409 8.2583
O -0.3299 2.6609 11.9650
O 1.3261 2.5797 9.8784
O 1.8018 3.1699 5.3830
O 3.6131 1.1684 9.2530
K -1.4778 6.9056 10.9070
H -1.5693 0.3348 10.4122
Si -1.6287 8.9613 8.0376
K 4.6943 4.3030 1.4598
O 0.2152 6.3159 2.2145
O 2.7051 1.1414 6.7530
Si 1.4814 5.3824 1.8726
O -0.1936 8.7742 0.8005
Ti 1.6355 2.5502 3.5065
O 1.3930 0.7116 3.9689
Si 0.1268 10.9867 4.3109
H -0.6686 10.2452 10.2991
Ti -0.0273 8.1545 2.6769
Si 1.3315 2.8513 0.2634
O 3.9001 5.7979 4.7113
Si 3.0896 0.2219 8.0560
O 3.4986 8.1840 8.6719
Si 1.8850 8.3573 12.1034
O -0.6837 5.4107 7.6555
O -0.2821 3.0246 3.6950
Si 2.9397 2.7530 6.4468
O 1.3455 2.0389 1.6556
O 3.5711 2.2170 3.3282
Si 0.0662 3.3570 10.5198
Na 1.4164 0.6240 11.4146
O 3.5464 8.5477 0.4018
O 2.1196 6.7457 11.7972
O 4.4243 7.8213 2.8481
O 4.0953 0.1936 1.4649
O -0.8788 11.0150 10.9019
K 3.3011 9.9073 4.7164
H 0.0069 5.9391 8.1452
K -0.0846 1.3013 7.6504
O -1.1483 0.7070 4.7754
O 1.0969 4.4629 0.5696
Ti 3.2437 3.0541 9.6899
Si 4.8451 2.2473 4.3292
O 1.2116 6.7727 9.2972
O -0.3967 10.0402 3.1138
Na 3.4083 6.2283 7.1357
O -0.3546 8.9916 9.0387
O 0.2627 7.6432 4.5278
CELL_PARAMETERS angstrom
6.3872 0.0000 -0.0072
0.0000 11.2086 0.0000
-3.1707 0.0000 12.3740
```



# 5
The following is a meta-GGA SCAN calculation of a PBEsol-optimized structure of KNaReH9, from the Alexandria database. Values from VASP.

VASP energy, eV for the cell shown: -473.63
Magnetization, μB/cell: 0.00

The structure in Quantum ESPRESSO input format:
```
&SYSTEM
  ibrav = 0, nat = 48, ntyp = 4
/
ATOMIC_SPECIES
H 1.01 H.upf
Na 22.99 Na.upf
K 39.10 K.upf
Re 186.21 Re.upf
ATOMIC_POSITIONS angstrom
H -2.4954 -1.6687 -3.0961
H -5.2283 -2.1107 -1.8823
H -3.7035 -6.5104 -5.0883
H -3.4340 -4.5873 -4.2370
Na -4.5164 -2.4535 -4.1000
H -4.6328 -5.0601 -0.7564
H -6.0286 -2.3258 -0.1706
H -6.0871 -4.1772 0.3747
H -7.0167 -6.7646 -2.0424
K -7.8713 -4.6938 -3.7952
H 0.6831 -5.7280 -4.8729
H -4.2990 -3.5610 -6.2141
H -5.5495 -8.0047 -1.8472
H -6.3373 -9.7859 -2.4638
H -2.9032 -6.2953 -6.7999
H -1.7295 0.1385 -2.5297
H -3.4622 -0.0534 -3.3154
Re -2.0337 -0.3942 -4.1172
Re -3.4855 -5.0187 -5.8826
K -3.3030 -0.7831 -0.5622
H -6.9739 -3.1250 -1.6526
H -4.5859 -5.4635 -7.1052
H -1.9579 -5.4962 -5.3180
H -2.8447 -4.4439 -7.3452
H -7.4430 -8.4415 -1.2531
H -2.5945 1.1648 -4.5068
H -8.3253 -7.3946 -3.2700
H -6.4509 -4.9181 -1.3315
K -5.6287 -7.8380 -6.4083
H -5.4696 -8.5677 -3.6552
H -6.4364 -6.9524 -3.8744
Na -4.4154 -6.1677 -2.8705
H -3.3823 -0.6165 -5.1233
H -7.2023 -8.7596 -4.4409
H -5.4978 -4.0338 -2.7335
H -1.4888 -0.1796 -5.7174
H -0.6065 -1.2265 -3.7005
H -4.3459 -3.1576 0.1346
Re -6.8981 -8.2269 -2.8533
H -5.0453 -5.1048 -5.2448
H -9.6149 -2.8931 -2.0977
H -1.9151 -1.8566 -4.9282
Re -5.4463 -3.6024 -1.0880
Na -0.5087 -4.8904 -7.1182
H -2.4809 -3.7030 -5.6391
H -3.8865 -3.5163 -1.7257
K -1.0605 -3.9273 -3.1754
Na -8.4231 -3.7308 0.1477
CELL_PARAMETERS angstrom
-1.9176 2.2752 -4.3832
1.8766 -7.3337 -4.6277
-8.8909 -3.5626 2.0404
```



# 6
The following is a meta-GGA SCAN calculation of a PBEsol-optimized structure of K6Na15Tl18H, from the Alexandria database. Values from VASP.

VASP energy, eV for the cell shown: -1427.63
Magnetization, μB/cell: 0.00

The structure in Quantum ESPRESSO input format:
```
&SYSTEM
  ibrav = 0, nat = 40, ntyp = 4
/
ATOMIC_SPECIES
Na 22.99 Na.upf
Tl 204.38 Tl.upf
K 39.10 K.upf
H 1.01 H.upf
ATOMIC_POSITIONS angstrom
Na 4.1471 4.4707 1.6562
Tl 5.8236 1.6655 8.8250
Tl 0.4745 7.7349 5.1700
Tl 2.2635 -0.8979 1.9859
Tl 4.5234 4.2723 5.0443
Na 0.7299 0.1575 8.8110
Tl 1.8204 -2.8271 8.6878
Na 4.1633 -0.8752 7.5646
K -0.5170 3.6730 9.3771
Tl -1.3475 5.1206 6.0646
K 0.6408 4.7113 3.0280
Tl 2.9425 2.1455 7.1342
Na 1.8396 5.2097 6.6932
Na 6.1836 6.8130 6.3046
K 6.8288 6.9952 2.4746
Na 3.3224 7.2358 3.8464
K 0.9899 -1.3795 5.3753
Tl 5.3374 9.5298 4.7351
Tl 10.4879 -1.2265 5.4977
Na 8.5074 0.7281 7.1761
Na 4.6824 -1.6872 3.8932
K 7.2773 -2.8698 6.3634
Tl 6.9951 3.9716 0.3327
Tl 3.6806 -3.7390 6.1065
Na 2.8974 1.6627 3.8838
Na 8.0690 -0.4372 3.5903
Tl 5.7167 1.1473 5.4919
Tl 2.1322 2.1768 0.7676
Tl 9.0708 1.6146 1.3771
Na 7.2415 3.2660 3.4953
Na 3.1055 2.6718 10.3740
H 5.1735 2.9689 6.9346
Tl 7.4044 3.7923 6.7351
Tl -0.1633 1.1500 2.9197
Tl 0.6362 1.1435 11.8327
Tl 4.6302 4.7905 8.3774
K 5.4741 0.7454 1.1201
Na 0.0000 0.0000 0.0000
Na 7.4495 4.2751 9.9855
Na -0.2570 2.1360 5.9414
CELL_PARAMETERS angstrom
-2.4045 8.0622 6.3857
2.8774 -5.7687 8.3666
9.8741 3.6443 -0.8831
```



# 7
The following is a meta-GGA SCAN calculation of a PBEsol-optimized structure of KH9O5, from the Alexandria database. Values from VASP.

VASP energy, eV for the cell shown: -352.08
Magnetization, μB/cell: 0.35

The structure in Quantum ESPRESSO input format:
```
&SYSTEM
  ibrav = 0, nat = 60, ntyp = 3
/
ATOMIC_SPECIES
H 1.01 H.upf
O 16.00 O.upf
K 39.10 K.upf
ATOMIC_POSITIONS angstrom
H -4.7536 -10.5366 -3.4621
O -4.3449 -2.2397 0.3246
H -0.7587 -7.0762 -0.2522
O -4.8195 -8.2435 -0.4382
O -5.9134 -4.1892 1.2035
H -1.9054 -7.8859 -1.9484
H 1.3497 -7.9196 -3.4358
H -5.0582 -11.9991 -1.8774
O 0.1959 -5.7258 0.1218
H -0.5486 -8.6434 -0.1535
H 0.0629 -9.9518 -3.3748
O 1.2617 -11.7748 -1.2814
H 1.1855 -5.9660 -2.6520
O -6.0991 -1.1963 -1.4402
H -2.6037 -3.4401 -5.1273
H -6.1872 -5.0514 0.7142
H -1.5360 -5.2847 -0.0026
H -1.3118 -2.5520 -4.7739
H 0.5425 -3.8980 -2.4213
H 1.0585 -9.9534 1.0674
H 0.1222 -11.1957 -2.3954
H -5.2334 -9.6272 2.9581
H 0.3959 -3.3439 -5.6797
H -0.0377 -6.1585 1.6053
H -0.0839 -2.4345 0.7406
H -3.3015 -7.6864 -2.7189
O -5.5148 -3.2769 -2.8695
O -2.6285 -10.1558 1.7220
O -2.4835 -5.0222 0.1259
H -3.5256 -10.4191 2.0523
H 0.8658 -10.5136 -0.4475
H -5.7033 -2.4574 -2.2740
H -6.0229 -7.0051 -0.0696
H -4.2889 -4.3277 -2.5681
O -1.2454 -7.9486 -0.3902
H -4.9084 -7.9464 -1.4096
K -2.2815 -2.6636 -1.7076
H -2.2338 -9.5309 2.4057
O 1.0760 -8.7819 -3.9251
H -2.9321 -5.0852 -0.7732
O -2.2090 -2.8153 -4.4436
O -0.4926 -10.7313 -3.0461
H -4.7998 -6.8126 -4.3269
H -4.0787 -5.8949 -2.4694
O -3.5921 -5.0224 -2.3314
O -0.0180 -4.7276 -2.2834
K -2.5559 -10.3075 -1.0140
H 0.2208 -0.9720 -0.8441
O -4.0557 -11.1405 -3.0503
O 0.6773 -9.6942 0.1480
H -5.3799 -9.0730 -0.3003
K -1.5026 -5.7192 -4.2589
H -4.9004 -3.0192 0.6533
H 0.0709 -5.0246 -1.3119
H -4.9596 -1.7753 -0.3261
O -5.0333 -7.2453 -2.8434
O -2.3539 -7.9489 -2.8475
O -0.7817 -1.8305 0.3287
H -5.8960 -3.0177 -3.7890
K -3.3348 -7.2519 1.5373
CELL_PARAMETERS angstrom
-6.9888 -0.6675 0.0061
1.2011 -2.3893 -6.5300
0.9502 -9.9143 3.8023
```



# 8
The following is a meta-GGA SCAN calculation of a PBEsol-optimized structure of KHO2, from the Alexandria database. Values from VASP.

VASP energy, eV for the cell shown: -21.61
Magnetization, μB/cell: 2.00

The structure in Quantum ESPRESSO input format:
```
&SYSTEM
  ibrav = 0, nat = 4, ntyp = 3
/
ATOMIC_SPECIES
K 39.10 K.upf
H 1.01 H.upf
O 16.00 O.upf
ATOMIC_POSITIONS angstrom
K 4.1333 2.3863 1.6874
H 0.0000 0.0000 0.0000
O 6.1999 3.5795 2.5311
O 2.0666 1.1932 0.8437
CELL_PARAMETERS angstrom
4.1333 0.0000 0.0000
2.0666 3.5795 0.0000
2.0666 1.1932 3.3748
```



# 9
The following is a meta-GGA SCAN calculation of a PBEsol-optimized structure of KHO3, from the Alexandria database. Values from VASP.

VASP energy, eV for the cell shown: -24.47
Magnetization, μB/cell: 6.00

The structure in Quantum ESPRESSO input format:
```
&SYSTEM
  ibrav = 0, nat = 5, ntyp = 3
/
ATOMIC_SPECIES
O 16.00 O.upf
K 39.10 K.upf
H 1.01 H.upf
ATOMIC_POSITIONS angstrom
O -1.3891 -1.8476 -1.3944
O 0.7166 -1.8895 1.7898
K 0.0000 0.0000 0.0000
H -2.8734 -3.1863 1.8582
O -2.2010 0.5508 1.4627
CELL_PARAMETERS angstrom
-2.7781 -3.6951 -2.7887
1.4332 -3.7790 3.5796
-4.4019 1.1016 2.9255
```



# 10
The following is a meta-GGA SCAN calculation of a PBEsol-optimized structure of K3HO, from the Alexandria database. Values from VASP.

VASP energy, eV for the cell shown: -37.09
Magnetization, μB/cell: 0.07

The structure in Quantum ESPRESSO input format:
```
&SYSTEM
  ibrav = 0, nat = 5, ntyp = 3
/
ATOMIC_SPECIES
H 1.01 H.upf
K 39.10 K.upf
O 16.00 O.upf
ATOMIC_POSITIONS angstrom
H 0.0000 0.0000 0.0000
K 0.0000 2.3747 0.0000
K 0.0000 0.0000 2.3747
O 2.3747 2.3747 2.3747
K 2.3747 0.0000 0.0000
CELL_PARAMETERS angstrom
4.7494 0.0000 0.0000
0.0000 4.7494 0.0000
0.0000 0.0000 4.7494
```



# 11
The following is a meta-GGA SCAN calculation of a PBEsol-optimized structure of KPH3O4, from the Alexandria database. Values from VASP.

VASP energy, eV for the cell shown: -556.19
Magnetization, μB/cell: 0.00

The structure in Quantum ESPRESSO input format:
```
&SYSTEM
  ibrav = 0, nat = 72, ntyp = 4
/
ATOMIC_SPECIES
O 16.00 O.upf
H 1.01 H.upf
P 30.97 P.upf
K 39.10 K.upf
ATOMIC_POSITIONS angstrom
O 1.0762 8.1606 5.4254
O -0.0406 4.1688 12.4235
H -0.5337 7.1594 13.1260
O 2.6671 0.7904 3.6695
O 3.5913 6.8863 13.9367
O 3.3132 0.2213 12.4523
H -1.0902 4.7039 9.7856
P 4.6296 4.8858 6.9689
H 1.9556 6.8377 4.5616
O 1.1563 8.5590 1.7734
K -0.8142 7.7266 9.7051
O 0.8961 4.8291 6.5747
O -1.2996 1.7746 10.2050
K 0.6160 1.3983 12.2694
K 0.4997 5.7885 1.9275
H 3.1503 5.8121 4.5659
P 1.2758 8.2847 6.9402
O 5.5999 0.9055 1.6442
H 2.2059 0.3137 4.4113
K 3.8535 7.3820 1.9563
O -0.1551 2.5758 6.4845
H 5.4478 3.8652 2.9149
H 2.0939 0.5249 2.8861
H 5.0032 1.6210 1.0997
O 1.8024 7.9899 10.5562
H 5.3094 6.3328 4.5903
H 5.5597 4.0765 4.4400
O 3.5735 3.9512 7.6510
H 2.2636 8.4666 9.8144
O -1.5514 5.1806 10.5275
K 2.5396 5.4439 9.7339
H 4.4149 7.3805 7.0785
P 0.2750 0.6060 0.8615
H -0.9782 4.9151 11.3108
O 1.2708 6.9660 7.7124
H 1.0610 5.7899 7.0497
K 3.9698 2.9918 12.2981
H 2.3756 8.2554 11.3395
P 0.8407 4.9961 13.3354
O 6.0209 3.5997 3.6982
O 0.0395 3.7704 8.7715
P 4.1945 8.1743 13.3641
O 0.2375 6.2842 13.9080
O 4.4300 5.0099 5.4542
H 2.5139 1.9427 9.6641
H -0.2035 7.3583 4.5372
O 4.2320 2.4961 0.3177
O 3.1987 1.8143 6.5133
O 4.6246 6.2045 7.7412
O 4.2499 8.3413 6.6034
O 2.0542 2.6156 10.2338
P 3.1937 0.4956 7.2855
O 5.7691 7.0057 4.0206
O 0.8782 1.8940 0.2889
O 0.2196 0.4390 7.6223
O 3.3933 0.6197 8.8002
O 2.2235 5.2957 12.6103
H 2.8201 6.0111 13.1548
H 3.4085 2.9904 7.1759
H 1.6494 2.7692 1.0709
H 1.3192 2.9682 9.6597
H -0.8399 2.4475 9.6353
H 4.6731 1.4220 9.6885
O 4.5101 4.6115 1.8022
O 2.4153 6.1648 3.9919
O -1.1303 7.8748 12.5815
O 2.2460 3.4846 1.6154
P 3.6288 3.7842 0.8903
P -0.1601 3.8946 7.2568
K 1.9299 3.3364 4.4918
K 5.2837 1.0537 4.5206
H 0.0547 1.3998 7.1472
CELL_PARAMETERS angstrom
6.7076 0.0000 0.0575
0.0000 8.7803 0.0000
-2.2381 0.0000 14.1682
```



Which of these has the highest VASP energy? number 1